VASP calculation (PBE with a Hubbard U) on crystalline K3MnCd2F9 at its relaxed geometry.

Cell lengths 6.215, 6.215, 7.616 Å; angles 90.00, 90.00, 120.00 degrees
Positions (direct):
K 0.000 0.000 0.000
K 0.333 0.667 0.669
K 0.667 0.333 0.331
Mn 0.000 0.000 0.500
Cd 0.333 0.667 0.175
Cd 0.667 0.333 0.825
F 0.000 0.500 0.000
F 0.162 0.323 0.340
F 0.162 0.838 0.340
F 0.323 0.162 0.660
F 0.500 0.000 0.000
F 0.500 0.500 0.000
F 0.677 0.838 0.340
F 0.838 0.162 0.660
F 0.838 0.677 0.660

**SG**: No. 164
**Electronic total energy**: -4.51 eV/atom
**Density**: 3.70 Mg/m³